1.
# PBE-GGA La3Cu2Sn4, relaxed
data_La3Cu2Sn4
_chemical_formula_sum 'La6 Cu4 Sn8'
_cell_length_a 11.6104
_cell_length_b 4.6795
_cell_length_c 9.0037
_cell_angle_alpha 90.00
_cell_angle_beta 105.46
_cell_angle_gamma 90.00
_space_group_name_H-M_alt 'C 1 2/m 1'
_space_group_IT_number 12
loop_
_space_group_symop_operation_xyz
'x,y,z'
'-x,-y,-z'
'-x,y,-z'
'x,-y,z'
'x+1/2,y+1/2,z'
'-x+1/2,-y+1/2,-z'
'-x+1/2,y+1/2,-z'
'x+1/2,-y+1/2,z'
loop_
_atom_site_label
_atom_site_type_symbol
_atom_site_fract_x
_atom_site_fract_y
_atom_site_fract_z
La1 La 0.0000 0.0000 0.0000
La2 La 0.1307 0.5000 0.6878
Cu1 Cu 0.1888 0.5000 0.3681
Sn1 Sn 0.0876 0.0000 0.3965
Sn2 Sn 0.2077 0.5000 0.0778
# VASP energy, eV per atom: -4.964
# Energy above the lowest structure with this stoichiometry, meV/atom: 2

---

2.
# PBE-GGA La3Cu2Sn4, relaxed
data_La3Cu2Sn4
_chemical_formula_sum 'La6 Cu4 Sn8'
_cell_length_a 11.8812
_cell_length_b 4.6272
_cell_length_c 9.0337
_cell_angle_alpha 90.00
_cell_angle_beta 103.15
_cell_angle_gamma 90.00
_space_group_name_H-M_alt 'C 1 2/m 1'
_space_group_IT_number 12
loop_
_space_group_symop_operation_xyz
'x,y,z'
'-x,-y,-z'
'-x,y,-z'
'x,-y,z'
'x+1/2,y+1/2,z'
'-x+1/2,-y+1/2,-z'
'-x+1/2,y+1/2,-z'
'x+1/2,-y+1/2,z'
loop_
_atom_site_label
_atom_site_type_symbol
_atom_site_fract_x
_atom_site_fract_y
_atom_site_fract_z
La1 La 0.0000 0.0000 0.0000
La2 La 0.1581 0.5000 0.6668
Cu1 Cu 0.1066 0.5000 0.2871
Sn1 Sn 0.0684 0.0000 0.3858
Sn2 Sn 0.2108 0.5000 0.0688
# VASP energy, eV per atom: -4.966
# Energy above the lowest structure with this stoichiometry, meV/atom: 0

---

3.
# PBE-GGA LaCu4Sn4, relaxed
data_LaCu4Sn4
_chemical_formula_sum 'La2 Cu8 Sn8'
_cell_length_a 6.6846
_cell_length_b 6.6846
_cell_length_c 8.6192
_cell_angle_alpha 90.00
_cell_angle_beta 90.00
_cell_angle_gamma 90.00
_space_group_name_H-M_alt 'P 42/n m c'
_space_group_IT_number 137
loop_
_space_group_symop_operation_xyz
'x,y,z'
'-x,-y,-z'
'-y+1/2,x,z+1/2'
'y+1/2,-x,-z+1/2'
'-x+1/2,-y+1/2,z'
'x+1/2,y+1/2,-z'
'y,-x+1/2,z+1/2'
'-y,x+1/2,-z+1/2'
'x+1/2,-y,-z'
'-x+1/2,y,z'
'-y,-x,-z+1/2'
'y,x,z+1/2'
'-x,y+1/2,-z'
'x,-y+1/2,z'
'y+1/2,x+1/2,-z+1/2'
'-y+1/2,-x+1/2,z+1/2'
loop_
_atom_site_label
_atom_site_type_symbol
_atom_site_fract_x
_atom_site_fract_y
_atom_site_fract_z
La1 La 0.2500 0.7500 0.2500
Cu1 Cu 0.0655 0.2500 0.1035
Sn1 Sn 0.0014 0.2500 0.4014
# VASP energy, eV per atom: -4.294
# Energy above the lowest structure with this stoichiometry, meV/atom: 0

---

4.
# PBE-GGA LaCu2Sn2, relaxed
data_LaCu2Sn2
_chemical_formula_sum 'La2 Cu4 Sn4'
_cell_length_a 7.9676
_cell_length_b 7.9676
_cell_length_c 3.4218
_cell_angle_alpha 90.00
_cell_angle_beta 90.00
_cell_angle_gamma 90.00
_space_group_name_H-M_alt 'P 4/m b m'
_space_group_IT_number 127
_space_group_name_Hall '-P 4 2ab'
loop_
_atom_site_label
_atom_site_type_symbol
_atom_site_fract_x
_atom_site_fract_y
_atom_site_fract_z
La1 La 0.0000 0.0000 0.0000
Cu1 Cu 0.1135 0.3865 0.0000
Sn1 Sn 0.1743 0.6743 0.5000
# VASP energy, eV per atom: -4.427

---

5.
# PBE-GGA LaCu4Sn4, relaxed
data_LaCu4Sn4
_chemical_formula_sum 'La2 Cu8 Sn8'
_cell_length_a 8.6010
_cell_length_b 8.6010
_cell_length_c 5.4909
_cell_angle_alpha 90.00
_cell_angle_beta 90.00
_cell_angle_gamma 90.00
_space_group_name_H-M_alt 'P 42/n'
_space_group_IT_number 86
loop_
_space_group_symop_operation_xyz
'x,y,z'
'-x,-y,-z'
'-y,x+1/2,z+1/2'
'y,-x+1/2,-z+1/2'
'-x+1/2,-y+1/2,z'
'x+1/2,y+1/2,-z'
'y+1/2,-x,z+1/2'
'-y+1/2,x,-z+1/2'
loop_
_atom_site_label
_atom_site_type_symbol
_atom_site_fract_x
_atom_site_fract_y
_atom_site_fract_z
La1 La 0.2500 0.2500 0.2500
Cu1 Cu 0.0725 0.5915 0.6375
Sn1 Sn 0.0980 0.6238 0.1415
# VASP energy, eV per atom: -4.238
# Energy above the lowest structure with this stoichiometry, meV/atom: 56

---

6.
# PBE-GGA LaTh2Cu2Sn2, relaxed
data_LaTh2Cu2Sn2
_chemical_formula_sum 'La3 Th6 Cu6 Sn6'
_cell_length_a 4.4135
_cell_length_b 4.4135
_cell_length_c 33.3579
_cell_angle_alpha 90.00
_cell_angle_beta 90.00
_cell_angle_gamma 120.00
_space_group_name_H-M_alt 'R -3 m'
_space_group_IT_number 166
_space_group_name_Hall '-R 3 2"'
loop_
_atom_site_label
_atom_site_type_symbol
_atom_site_fract_x
_atom_site_fract_y
_atom_site_fract_z
La1 La 0.0000 0.0000 0.0000
Th1 Th 0.0000 0.0000 0.1275
Cu1 Cu 0.0000 0.0000 0.4105
Sn1 Sn 0.0000 0.0000 0.2697
# VASP energy, eV per atom: -5.415

---

7.
# PBE-GGA La2ZnCu3Sn4, relaxed
data_La2ZnCu3Sn4
_chemical_formula_sum 'La2 Zn1 Cu3 Sn4'
_cell_length_a 4.5208
_cell_length_b 4.5208
_cell_length_c 10.8944
_cell_angle_alpha 90.00
_cell_angle_beta 90.00
_cell_angle_gamma 90.00
_space_group_name_H-M_alt 'P -4 m 2'
_space_group_IT_number 115
loop_
_space_group_symop_operation_xyz
'x,y,z'
'y,-x,-z'
'-x,-y,z'
'-y,x,-z'
'-x,y,z'
'-y,-x,-z'
'x,-y,z'
'y,x,-z'
loop_
_atom_site_label
_atom_site_type_symbol
_atom_site_fract_x
_atom_site_fract_y
_atom_site_fract_z
La1 La 0.0000 0.5000 0.2432
Zn1 Zn 0.5000 0.5000 0.0000
Cu1 Cu 0.0000 0.0000 0.0000
Cu2 Cu 0.0000 0.5000 0.6322
Sn1 Sn 0.0000 0.0000 0.5000
Sn2 Sn 0.0000 0.5000 0.8660
Sn3 Sn 0.5000 0.5000 0.5000
# VASP energy, eV per atom: -4.414

---

8.
# PBE-GGA La2Zn3Cu12Sn, relaxed
data_La2Zn3Cu12Sn
_chemical_formula_sum 'La6 Zn9 Cu36 Sn3'
_cell_length_a 6.3724
_cell_length_b 6.3724
_cell_length_c 27.1434
_cell_angle_alpha 90.00
_cell_angle_beta 90.00
_cell_angle_gamma 120.00
_space_group_name_H-M_alt 'R -3 m'
_space_group_IT_number 166
_space_group_name_Hall '-R 3 2"'
loop_
_atom_site_label
_atom_site_type_symbol
_atom_site_fract_x
_atom_site_fract_y
_atom_site_fract_z
La1 La 0.0000 0.0000 0.1410
Zn1 Zn 0.0000 0.5000 0.0000
Cu1 Cu 0.0500 0.5250 0.9035
Cu2 Cu 0.0813 0.5406 0.6245
Sn1 Sn 0.0000 0.0000 0.5000
# VASP energy, eV per atom: -3.655

---

9.
# PBE-GGA SrLaCu2, relaxed
data_SrLaCu2
_chemical_formula_sum 'Sr1 La1 Cu2'
_cell_length_a 5.2604
_cell_length_b 5.2604
_cell_length_c 3.6642
_cell_angle_alpha 90.00
_cell_angle_beta 90.00
_cell_angle_gamma 90.00
_space_group_name_H-M_alt 'P 4/m m m'
_space_group_IT_number 123
_space_group_name_Hall '-P 4 2'
loop_
_atom_site_label
_atom_site_type_symbol
_atom_site_fract_x
_atom_site_fract_y
_atom_site_fract_z
Sr1 Sr 0.0000 0.0000 0.0000
La1 La 0.5000 0.5000 0.0000
Cu1 Cu 0.0000 0.5000 0.5000
# VASP energy, eV per atom: -3.743
# Energy above the lowest structure with this stoichiometry, meV/atom: 54

---

10.
# PBE-GGA SrLaCu2, relaxed
data_SrLaCu2
_chemical_formula_sum 'Sr1 La1 Cu2'
_cell_length_a 3.5708
_cell_length_b 3.5708
_cell_length_c 8.2543
_cell_angle_alpha 90.00
_cell_angle_beta 90.00
_cell_angle_gamma 90.00
_space_group_name_H-M_alt 'P 4 m m'
_space_group_IT_number 99
loop_
_space_group_symop_operation_xyz
'x,y,z'
'-y,x,z'
'-x,-y,z'
'y,-x,z'
'-x,y,z'
'y,x,z'
'x,-y,z'
'-y,-x,z'
loop_
_atom_site_label
_atom_site_type_symbol
_atom_site_fract_x
_atom_site_fract_y
_atom_site_fract_z
Sr1 Sr 0.0000 0.0000 0.0000
La1 La 0.5000 0.5000 0.5872
Cu1 Cu 0.0000 0.0000 0.3676
Cu2 Cu 0.5000 0.5000 0.2432
# VASP energy, eV per atom: -3.642
# Energy above the lowest structure with this stoichiometry, meV/atom: 155

---

11.
# PBE-GGA SrLaCu2, relaxed
data_SrLaCu2
_chemical_formula_sum 'Sr3 La3 Cu6'
_cell_length_a 4.2697
_cell_length_b 4.2697
_cell_length_c 22.6754
_cell_angle_alpha 90.00
_cell_angle_beta 90.00
_cell_angle_gamma 120.00
_space_group_name_H-M_alt 'R 3 m'
_space_group_IT_number 160
_space_group_name_Hall 'R 3 -2"'
loop_
_atom_site_label
_atom_site_type_symbol
_atom_site_fract_x
_atom_site_fract_y
_atom_site_fract_z
Sr1 Sr 0.0000 0.0000 0.0000
La1 La 0.0000 0.0000 0.1733
Cu1 Cu 0.0000 0.0000 0.4267
Cu2 Cu 0.0000 0.0000 0.7605
# VASP energy, eV per atom: -3.797
# Energy above the lowest structure with this stoichiometry, meV/atom: 0

---

12.
# PBE-GGA SrLaCu2, relaxed
data_SrLaCu2
_chemical_formula_sum 'Sr2 La2 Cu4'
_cell_length_a 4.0899
_cell_length_b 4.1474
_cell_length_c 14.2338
_cell_angle_alpha 90.00
_cell_angle_beta 90.00
_cell_angle_gamma 90.00
_space_group_name_H-M_alt 'I m m 2'
_space_group_IT_number 44
loop_
_space_group_symop_operation_xyz
'x,y,z'
'-x,-y,z'
'-x,y,z'
'x,-y,z'
'x+1/2,y+1/2,z+1/2'
'-x+1/2,-y+1/2,z+1/2'
'-x+1/2,y+1/2,z+1/2'
'x+1/2,-y+1/2,z+1/2'
loop_
_atom_site_label
_atom_site_type_symbol
_atom_site_fract_x
_atom_site_fract_y
_atom_site_fract_z
Sr1 Sr 0.0000 0.0000 0.0000
La1 La 0.0000 0.5000 0.7521
Cu1 Cu 0.0000 0.0000 0.4100
Cu2 Cu 0.0000 0.5000 0.3169
# VASP energy, eV per atom: -3.684
# Energy above the lowest structure with this stoichiometry, meV/atom: 113

---

13.
# PBE-GGA SrLaCu2, relaxed
data_SrLaCu2
_chemical_formula_sum 'Sr4 La4 Cu8'
_cell_length_a 7.9043
_cell_length_b 7.9043
_cell_length_c 7.5666
_cell_angle_alpha 90.00
_cell_angle_beta 90.00
_cell_angle_gamma 90.00
_space_group_name_H-M_alt 'I -4 2 d'
_space_group_IT_number 122
_space_group_name_Hall 'I -4 2bw'
loop_
_atom_site_label
_atom_site_type_symbol
_atom_site_fract_x
_atom_site_fract_y
_atom_site_fract_z
Sr1 Sr 0.0000 0.0000 0.0000
La1 La 0.0000 0.0000 0.5000
Cu1 Cu 0.2325 0.2500 0.6250
# VASP energy, eV per atom: -3.451
# Energy above the lowest structure with this stoichiometry, meV/atom: 346

---

14.
# PBE-GGA Sr2LaCu9, relaxed
data_Sr2LaCu9
_chemical_formula_sum 'Sr6 La3 Cu27'
_cell_length_a 5.3420
_cell_length_b 5.3420
_cell_length_c 25.8180
_cell_angle_alpha 90.00
_cell_angle_beta 90.00
_cell_angle_gamma 120.00
_space_group_name_H-M_alt 'R -3 m'
_space_group_IT_number 166
_space_group_name_Hall '-R 3 2"'
loop_
_atom_site_label
_atom_site_type_symbol
_atom_site_fract_x
_atom_site_fract_y
_atom_site_fract_z
Sr1 Sr 0.0000 0.0000 0.1428
La1 La 0.0000 0.0000 0.0000
Cu1 Cu 0.0000 0.0000 0.3310
Cu2 Cu 0.0000 0.0000 0.5000
Cu3 Cu 0.0088 0.5044 0.0783
# VASP energy, eV per atom: -3.816

---

15.
# PBE-GGA SrLa2Cu2, relaxed
data_SrLa2Cu2
_chemical_formula_sum 'Sr2 La4 Cu4'
_cell_length_a 5.2766
_cell_length_b 5.2766
_cell_length_c 10.9689
_cell_angle_alpha 90.00
_cell_angle_beta 90.00
_cell_angle_gamma 90.00
_space_group_name_H-M_alt 'I 4/m m m'
_space_group_IT_number 139
_space_group_name_Hall '-I 4 2'
loop_
_atom_site_label
_atom_site_type_symbol
_atom_site_fract_x
_atom_site_fract_y
_atom_site_fract_z
Sr1 Sr 0.0000 0.0000 0.0000
La1 La 0.0000 0.0000 0.3576
Cu1 Cu 0.0000 0.5000 0.2500
# VASP energy, eV per atom: -3.828
# Energy above the lowest structure with this stoichiometry, meV/atom: 160

---

16.
# PBE-GGA SrLa3Cu, relaxed
data_SrLa3Cu
_chemical_formula_sum 'Sr1 La3 Cu1'
_cell_length_a 5.9006
_cell_length_b 5.9006
_cell_length_c 5.9006
_cell_angle_alpha 90.00
_cell_angle_beta 90.00
_cell_angle_gamma 90.00
_space_group_name_H-M_alt 'P m -3 m'
_space_group_IT_number 221
_space_group_name_Hall '-P 4 2 3'
loop_
_atom_site_label
_atom_site_type_symbol
_atom_site_fract_x
_atom_site_fract_y
_atom_site_fract_z
Sr1 Sr 0.0000 0.0000 0.0000
La1 La 0.0000 0.0000 0.5000
Cu1 Cu 0.5000 0.5000 0.5000
# VASP energy, eV per atom: -2.912
# Energy above the lowest structure with this stoichiometry, meV/atom: 1074

---

17.
# PBE-GGA SrLaCu, relaxed
data_SrLaCu
_chemical_formula_sum 'Sr4 La4 Cu4'
_cell_length_a 7.3583
_cell_length_b 7.3583
_cell_length_c 7.3583
_cell_angle_alpha 90.00
_cell_angle_beta 90.00
_cell_angle_gamma 90.00
_space_group_name_H-M_alt 'F -4 3 m'
_space_group_IT_number 216
_space_group_name_Hall 'F -4 2 3'
loop_
_atom_site_label
_atom_site_type_symbol
_atom_site_fract_x
_atom_site_fract_y
_atom_site_fract_z
Sr1 Sr 0.0000 0.0000 0.0000
La1 La 0.0000 0.0000 0.5000
Cu1 Cu 0.2500 0.2500 0.7500
# VASP energy, eV per atom: -3.427
# Energy above the lowest structure with this stoichiometry, meV/atom: 190

---

18.
# PBE-GGA SrLaCu3, relaxed
data_SrLaCu3
_chemical_formula_sum 'Sr1 La1 Cu3'
_cell_length_a 5.1967
_cell_length_b 5.1967
_cell_length_c 5.1967
_cell_angle_alpha 90.00
_cell_angle_beta 90.00
_cell_angle_gamma 90.00
_space_group_name_H-M_alt 'P m -3 m'
_space_group_IT_number 221
_space_group_name_Hall '-P 4 2 3'
loop_
_atom_site_label
_atom_site_type_symbol
_atom_site_fract_x
_atom_site_fract_y
_atom_site_fract_z
Sr1 Sr 0.0000 0.0000 0.0000
La1 La 0.5000 0.5000 0.5000
Cu1 Cu 0.0000 0.0000 0.5000
# VASP energy, eV per atom: -3.072
# Energy above the lowest structure with this stoichiometry, meV/atom: 858

---

19.
# PBE-GGA SrLaCu, relaxed
data_SrLaCu
_chemical_formula_sum 'Sr1 La1 Cu1'
_cell_length_a 4.2220
_cell_length_b 4.2220
_cell_length_c 7.1489
_cell_angle_alpha 90.00
_cell_angle_beta 90.00
_cell_angle_gamma 120.00
_space_group_name_H-M_alt 'P 3 m 1'
_space_group_IT_number 156
loop_
_space_group_symop_operation_xyz
'x,y,z'
'-y,x-y,z'
'-x+y,-x,z'
'-y,-x,z'
'-x+y,y,z'
'x,x-y,z'
loop_
_atom_site_label
_atom_site_type_symbol
_atom_site_fract_x
_atom_site_fract_y
_atom_site_fract_z
Sr1 Sr 0.0000 0.0000 0.0000
La1 La 0.3333 0.6667 0.4974
Cu1 Cu 0.6667 0.3333 0.2758
# VASP energy, eV per atom: -3.473
# Energy above the lowest structure with this stoichiometry, meV/atom: 143

---

20.
# PBE-GGA SrLaCu4, relaxed
data_SrLaCu4
_chemical_formula_sum 'Sr1 La1 Cu4'
_cell_length_a 4.0490
_cell_length_b 4.3258
_cell_length_c 7.4450
_cell_angle_alpha 90.00
_cell_angle_beta 90.00
_cell_angle_gamma 90.00
_space_group_name_H-M_alt 'P m m m'
_space_group_IT_number 47
loop_
_space_group_symop_operation_xyz
'x,y,z'
'-x,-y,-z'
'-x,-y,z'
'x,y,-z'
'x,-y,-z'
'-x,y,z'
'-x,y,-z'
'x,-y,z'
loop_
_atom_site_label
_atom_site_type_symbol
_atom_site_fract_x
_atom_site_fract_y
_atom_site_fract_z
Sr1 Sr 0.0000 0.0000 0.0000
La1 La 0.0000 0.5000 0.5000
Cu1 Cu 0.5000 0.0000 0.3355
Cu2 Cu 0.5000 0.5000 0.1706
# VASP energy, eV per atom: -3.967
# Energy above the lowest structure with this stoichiometry, meV/atom: 0

---

no.,ΔE_f (eV per atom)
1,-0.632
2,-0.634
3,-0.147
4,-0.202
5,-0.090
6,-0.278
7,-0.471
8,0.058
9,-0.043
10,0.059
11,-0.096
12,0.017
13,0.249
14,-0.053
15,0.117
16,1.200
17,0.142
18,0.707
19,0.095
20,-0.134